{"formula": "Ca3ZrAl", "functional": "PBE", "state": "relaxed", "lattice_angstrom": [[5.744, 0.000, 0.000], [0.000, 5.744, 0.000], [0.000, 0.000, 5.744]], "species": ["Al", "Ca", "Ca", "Ca", "Zr"], "frac_coords": [[0.000, 0.000, 0.000], [0.000, 0.000, 0.500], [0.500, 0.000, 0.000], [0.000, 0.500, 0.000], [0.500, 0.500, 0.500]], "dft_energy_ev_per_cell": -15.013, "ef_ev_per_atom": 0.657, "e_above_lowest_polymorph_ev_per_atom": 0.000}

---

{"formula": "BaAg2Rh", "functional": "PBE", "state": "relaxed", "lattice_angstrom": [[3.549, 0.000, 0.000], [0.000, 3.541, 0.000], [0.000, 0.000, 7.369]], "species": ["Ag", "Ag", "Rh", "Ba"], "frac_coords": [[0.000, 0.000, 0.992], [0.500, 0.500, 0.181], [0.500, 0.500, 0.799], [0.000, 0.000, 0.529]], "dft_energy_ev_per_cell": -14.340, "ef_ev_per_atom": 0.159, "e_above_lowest_polymorph_ev_per_atom": 0.220}

---

{"formula": "LiMgAl4", "functional": "PBE", "state": "relaxed", "lattice_angstrom": [[-3.378, -3.108, 2.074], [2.967, 2.844, 2.913], [-3.418, 3.421, 1.568]], "species": ["Mg", "Al", "Al", "Al", "Al", "Li"], "frac_coords": [[0.998, 0.503, 0.501], [0.327, 0.174, 0.501], [0.821, 0.680, 0.001], [0.669, 0.832, 0.501], [0.175, 0.325, 0.001], [0.498, 0.003, 0.001]], "dft_energy_ev_per_cell": -18.666, "ef_ev_per_atom": -0.031}

---

{"formula": "La3CuC", "functional": "PBE", "state": "relaxed", "lattice_angstrom": [[-0.405, -3.609, -3.662], [5.114, -0.658, 0.083], [-0.525, -3.625, 3.631]], "species": ["C", "La", "La", "La", "Cu"], "frac_coords": [[0.000, 0.000, 0.000], [0.500, 0.000, 0.000], [0.000, 0.000, 0.500], [0.000, 0.500, 0.000], [0.500, 0.500, 0.500]], "dft_energy_ev_per_cell": -27.705, "ef_ev_per_atom": 0.080}

---

{"formula": "BaScTc2", "functional": "PBE", "state": "relaxed", "lattice_angstrom": [[-2.733, 4.385, -8.552], [-0.119, 2.960, -9.542], [-2.834, 1.389, -9.479]], "species": ["Sc", "Tc", "Tc", "Ba"], "frac_coords": [[0.750, 0.750, 0.750], [0.011, 0.011, 0.011], [0.489, 0.489, 0.489], [0.250, 0.250, 0.250]], "dft_energy_ev_per_cell": -25.565, "ef_ev_per_atom": 0.855, "e_above_lowest_polymorph_ev_per_atom": 0.621}

---

{"formula": "Tl2ZnSiHg", "functional": "PBE", "state": "relaxed", "lattice_angstrom": [[-0.599, -5.090, 1.812], [3.152, 1.030, 3.936], [-4.255, 1.568, 2.998]], "species": ["Tl", "Tl", "Hg", "Si", "Zn"], "frac_coords": [[0.000, 0.000, 0.500], [0.500, 0.000, 0.000], [0.000, 0.500, 0.000], [0.000, 0.000, 0.000], [0.500, 0.500, 0.500]], "dft_energy_ev_per_cell": -9.562, "formation_energy_uncorrected_mev_per_atom": 434}

---

{"formula": "Tb4Y2Er", "functional": "PBE", "state": "relaxed", "lattice_angstrom": [[-1.902, 2.906, -0.898], [-1.418, -2.467, 2.185], [7.438, 9.764, 15.850]], "species": ["Tb", "Tb", "Tb", "Tb", "Er", "Y", "Y"], "frac_coords": [[0.381, 0.762, 0.526], [0.381, 0.762, 0.808], [0.048, 0.096, 0.238], [0.048, 0.096, 0.952], [0.714, 0.429, 0.666], [0.715, 0.429, 0.096], [0.714, 0.429, 0.382]], "dft_energy_ev_per_cell": -35.970, "ef_ev_per_atom": 0.006, "e_above_lowest_polymorph_ev_per_atom": 0.000}

---

{"formula": "Li8SbPb2", "functional": "PBE", "state": "relaxed", "lattice_angstrom": [[-0.003, -3.402, -3.006], [5.760, -1.853, 2.091], [-4.860, -2.164, 5.882]], "species": ["Pb", "Pb", "Li", "Li", "Li", "Li", "Li", "Li", "Li", "Li", "Sb"], "frac_coords": [[0.208, 0.650, 0.416], [0.792, 0.350, 0.584], [0.974, 0.255, 0.947], [0.026, 0.745, 0.053], [0.329, 0.077, 0.657], [0.606, 0.422, 0.212], [0.394, 0.578, 0.788], [0.149, 0.178, 0.298], [0.851, 0.822, 0.702], [0.671, 0.923, 0.343], [0.500, 0.000, 0.000]], "dft_energy_ev_per_cell": -30.905, "formation_energy_uncorrected_mev_per_atom": -369}

---

{"formula": "Re3IrF", "functional": "PBE", "state": "relaxed", "lattice_angstrom": [[-4.721, -0.325, -0.598], [0.588, -4.061, -2.432], [-0.344, -2.481, 4.060]], "species": ["Re", "Re", "Re", "F", "Ir"], "frac_coords": [[0.500, 0.000, 0.000], [0.000, 0.000, 0.500], [0.000, 0.500, 0.000], [0.500, 0.500, 0.500], [0.000, 0.000, 0.000]], "dft_energy_ev_per_cell": -36.794, "formation_energy_uncorrected_mev_per_atom": 2257, "e_above_lowest_polymorph_ev_per_atom": 1.027}

---

{"formula": "NbFe3Tc", "functional": "PBE", "state": "relaxed", "lattice_angstrom": [[-1.837, -4.025, 0.320], [2.370, -0.791, 3.666], [-3.269, 1.689, 2.478]], "species": ["Fe", "Fe", "Fe", "Tc", "Nb"], "frac_coords": [[0.000, 0.000, 0.500], [0.500, 0.000, 0.000], [0.000, 0.500, 0.000], [0.500, 0.500, 0.500], [0.000, 0.000, 0.000]], "dft_energy_ev_per_cell": -37.194, "ef_ev_per_atom": 1.726, "e_above_lowest_polymorph_ev_per_atom": 0.393}

---

{"formula": "Na10B11C9", "functional": "PBE", "state": "relaxed", "lattice_angstrom": [[-1.635, 0.970, -7.274], [0.376, -3.474, -6.657], [-7.417, -2.790, 4.071]], "species": ["C", "C", "C", "C", "C", "C", "C", "C", "C", "B", "B", "B", "B", "B", "B", "B", "B", "B", "B", "B", "Na", "Na", "Na", "Na", "Na", "Na", "Na", "Na", "Na", "Na"], "frac_coords": [[0.617, 0.283, 0.751], [0.817, 0.483, 0.749], [0.782, 0.123, 0.250], [0.377, 0.718, 0.250], [0.017, 0.683, 0.751], [0.184, 0.518, 0.250], [0.217, 0.883, 0.749], [0.982, 0.316, 0.250], [0.417, 0.083, 0.750], [0.308, 0.981, 0.250], [0.716, 0.384, 0.250], [0.582, 0.918, 0.250], [0.683, 0.017, 0.751], [0.083, 0.417, 0.750], [0.483, 0.817, 0.749], [0.519, 0.192, 0.250], [0.116, 0.784, 0.250], [0.283, 0.617, 0.750], [0.933, 0.567, 0.250], [0.883, 0.217, 0.750], [0.101, 0.100, 0.501], [0.400, 0.399, 0.999], [0.600, 0.600, 0.000], [0.800, 0.800, 0.001], [0.001, 0.000, 0.999], [0.500, 0.499, 0.501], [0.900, 0.900, 0.500], [0.199, 0.201, 0.001], [0.700, 0.700, 0.499], [0.299, 0.301, 0.499]], "dft_energy_ev_per_cell": -168.524, "ef_ev_per_atom": 0.038, "e_above_lowest_polymorph_ev_per_atom": 0.013}